1.
## Hf2TlPb2 (GGA-PBE)

Data for Hf2TlPb2 after structural relaxation.

## Properties
* crystal system: tetragonal

abc: 7.8035 7.8035 4.1658
angles: 90.00 90.00 90.00
Sites, in units of the cell vectors:
Pb: 0.1656 0.6656 0.5000
Pb: 0.6656 0.8344 0.5000
Pb: 0.8344 0.3344 0.5000
Pb: 0.3344 0.1656 0.5000
Tl: 0.0000 0.0000 0.0000
Tl: 0.5000 0.5000 0.0000
Hf: 0.3627 0.8627 0.0000
Hf: 0.8627 0.6373 0.0000
Hf: 0.6373 0.1373 0.0000
Hf: 0.1373 0.3627 0.0000

2.
## LiCrSnMo (GGA-PBE)

Data for LiCrSnMo after structural relaxation.

## Properties
* crystal system: cubic

abc: 4.3993 4.3993 4.3993
angles: 60.00 60.00 60.00
Sites, in units of the cell vectors:
Cr: 0.7500 0.7500 0.7500
Mo: 0.5000 0.5000 0.5000
Sn: 0.0000 0.0000 0.0000
Li: 0.2500 0.2500 0.2500

3.
## RbGaSn (GGA-PBE)

Data for RbGaSn after structural relaxation.

## Properties
* crystal system: hexagonal

abc: 5.1315 5.1315 8.0667
angles: 90.00 90.00 120.00
Sites, in units of the cell vectors:
Ga: 0.3333 0.6667 0.0540
Ga: 0.6667 0.3333 0.5540
Sn: 0.3333 0.6667 0.4539
Sn: 0.6667 0.3333 0.9539
Rb: 0.0000 0.0000 0.7422
Rb: 0.0000 0.0000 0.2422

4.
## CuIrCl6 (GGA-PBE)

Data for CuIrCl6 after structural relaxation.

## Properties
* energy relative to the elements, uncorrected: -365.6 meV/atom
* crystal system: triclinic

abc: 6.0128 6.0184 6.4572
angles: 62.10 62.09 60.08
Sites, in units of the cell vectors:
Cu: 0.5000 0.5000 0.5000
Ir: 0.0000 0.0000 0.0000
Cl: 0.0850 0.4004 0.7534
Cl: 0.7623 0.0839 0.7541
Cl: 0.5999 0.2380 0.2456
Cl: 0.2377 0.9161 0.2459
Cl: 0.9150 0.5996 0.2466
Cl: 0.4001 0.7620 0.7544

5.
## Be2Pt (GGA-PBE)

Data for Be2Pt after structural relaxation.

## Properties
* crystal system: tetragonal

abc: 3.8759 3.8759 2.6516
angles: 90.00 90.00 90.00
Sites, in units of the cell vectors:
Be: 0.0000 0.5000 0.0000
Be: 0.5000 0.0000 0.0000
Pt: 0.0000 0.0000 0.5000

6.
## Dy3YCo2 (GGA-PBE)

Data for Dy3YCo2 after structural relaxation.

## Properties
* crystal system: monoclinic

abc: 3.7566 8.3972 9.9262
angles: 77.77 79.09 77.07
Sites, in units of the cell vectors:
Dy: 0.1597 0.9280 0.7526
Dy: 0.8403 0.0720 0.2474
Dy: 0.4159 0.2273 0.9410
Dy: 0.5841 0.7727 0.0590
Dy: 0.5841 0.2724 0.5594
Dy: 0.4159 0.7276 0.4406
Y: 0.8420 0.5707 0.7454
Y: 0.1580 0.4293 0.2546
Co: 0.2328 0.5806 0.9539
Co: 0.7672 0.4194 0.0461
Co: 0.7665 0.9192 0.5478
Co: 0.2335 0.0808 0.4522

7.
## Ti3SbMo (GGA-PBE)

Data for Ti3SbMo after structural relaxation.

## Properties
* energy relative to the elements, uncorrected: 1292.4 meV/atom
* crystal system: cubic

abc: 4.9176 4.9176 4.9176
angles: 90.00 90.00 90.00
Sites, in units of the cell vectors:
Sb: 0.0000 0.0000 0.0000
Mo: 0.5000 0.5000 0.5000
Ti: 0.0000 0.5000 0.0000
Ti: 0.0000 0.0000 0.5000
Ti: 0.5000 0.0000 0.0000

8.
## BaGa2Au2 (GGA-PBE)

Data for BaGa2Au2 after structural relaxation.

## Properties
* crystal system: tetragonal

abc: 8.1928 8.1928 3.4797
angles: 90.00 90.00 90.00
Sites, in units of the cell vectors:
Au: 0.1815 0.6815 0.5000
Au: 0.6815 0.8185 0.5000
Au: 0.8185 0.3185 0.5000
Au: 0.3185 0.1815 0.5000
Ba: 0.0000 0.0000 0.0000
Ba: 0.5000 0.5000 0.0000
Ga: 0.3846 0.8846 0.0000
Ga: 0.8846 0.6154 0.0000
Ga: 0.6154 0.1154 0.0000
Ga: 0.1154 0.3846 0.0000

Spin magnetization (computed, μB per cell): 0.12 1.00 0.00 1.16 0.00 0.00 1.06 0.00
Total DFT energy (no corrections) (computed, eV/f.u.): -29.056 -26.039 -8.089 -26.962 -14.614 -35.406 -32.176 -15.835